Gd2BeZnSi2 | PBE-GGA | optimized geometry

```
data_Gd2BeZnSi2
_cell_length_a 4.028
_cell_length_b 4.028
_cell_length_c 8.096
_cell_angle_alpha 90.00
_cell_angle_beta 90.00
_cell_angle_gamma 120.00
_symmetry_space_group_name_H-M 'P 1'
_symmetry_Int_Tables_number 1
loop_
_symmetry_equiv_pos_as_xyz
'x,y,z'
loop_
_atom_site_label
_atom_site_type_symbol
_atom_site_fract_x
_atom_site_fract_y
_atom_site_fract_z
Gd1 Gd 0.000 0.000 0.244
Gd2 Gd 0.000 0.000 0.756
Be1 Be 0.667 0.333 0.000
Zn1 Zn 0.333 0.667 0.500
Si1 Si 0.333 0.667 0.000
Si2 Si 0.667 0.333 0.500
```

Output
M_tot = 0.0 μB/f.u.
space-group type = P-6m2
VASP energy = -28.91 eV/cell

GdZrBe2Si2 | PBE-GGA | optimized geometry

```
data_GdZrBe2Si2
_cell_length_a 3.799
_cell_length_b 3.799
_cell_length_c 7.752
_cell_angle_alpha 90.00
_cell_angle_beta 90.00
_cell_angle_gamma 120.00
_symmetry_space_group_name_H-M 'P 1'
_symmetry_Int_Tables_number 1
loop_
_symmetry_equiv_pos_as_xyz
'x,y,z'
loop_
_atom_site_label
_atom_site_type_symbol
_atom_site_fract_x
_atom_site_fract_y
_atom_site_fract_z
Gd1 Gd 0.000 0.000 0.000
Zr1 Zr 0.000 0.000 0.500
Be1 Be 0.333 0.667 0.727
Be2 Be 0.667 0.333 0.273
Si1 Si 0.333 0.667 0.265
Si2 Si 0.667 0.333 0.735
```

Output
M_tot = 0.0 μB/f.u.
space-group type = P-3m1
VASP energy = -35.71 eV/cell

GdBeTc | PBE-GGA | optimized geometry

```
data_GdBeTc
_cell_length_a 6.023
_cell_length_b 6.023
_cell_length_c 6.023
_cell_angle_alpha 90.00
_cell_angle_beta 90.00
_cell_angle_gamma 90.00
_symmetry_space_group_name_H-M 'P 1'
_symmetry_Int_Tables_number 1
loop_
_symmetry_equiv_pos_as_xyz
'x,y,z'
loop_
_atom_site_label
_atom_site_type_symbol
_atom_site_fract_x
_atom_site_fract_y
_atom_site_fract_z
Gd1 Gd 0.000 0.000 0.000
Gd2 Gd 0.000 0.500 0.500
Gd3 Gd 0.500 0.000 0.500
Gd4 Gd 0.500 0.500 0.000
Be1 Be 0.250 0.250 0.250
Be2 Be 0.250 0.750 0.750
Be3 Be 0.750 0.250 0.750
Be4 Be 0.750 0.750 0.250
Tc1 Tc 0.000 0.000 0.500
Tc2 Tc 0.000 0.500 0.000
Tc3 Tc 0.500 0.000 0.000
Tc4 Tc 0.500 0.500 0.500
```

Output
M_tot = 0.0 μB/f.u.
space-group type = F-43m
VASP energy = -70.13 eV/cell

GdBeTe | PBE-GGA | optimized geometry

```
data_GdBeTe
_cell_length_a 6.948
_cell_length_b 6.948
_cell_length_c 6.948
_cell_angle_alpha 90.00
_cell_angle_beta 90.00
_cell_angle_gamma 90.00
_symmetry_space_group_name_H-M 'P 1'
_symmetry_Int_Tables_number 1
loop_
_symmetry_equiv_pos_as_xyz
'x,y,z'
loop_
_atom_site_label
_atom_site_type_symbol
_atom_site_fract_x
_atom_site_fract_y
_atom_site_fract_z
Gd1 Gd 0.000 0.000 0.000
Gd2 Gd 0.000 0.500 0.500
Gd3 Gd 0.500 0.000 0.500
Gd4 Gd 0.500 0.500 0.000
Be1 Be 0.000 0.000 0.500
Be2 Be 0.000 0.500 0.000
Be3 Be 0.500 0.000 0.000
Be4 Be 0.500 0.500 0.500
Te1 Te 0.250 0.250 0.750
Te2 Te 0.250 0.750 0.250
Te3 Te 0.750 0.250 0.250
Te4 Te 0.750 0.750 0.750
```

Output
M_tot = 0.7 μB/f.u.
space-group type = F-43m
VASP energy = -43.02 eV/cell

GdThBe | PBE-GGA | optimized geometry

```
data_GdThBe
_cell_length_a 6.795
_cell_length_b 6.795
_cell_length_c 6.795
_cell_angle_alpha 90.00
_cell_angle_beta 90.00
_cell_angle_gamma 90.00
_symmetry_space_group_name_H-M 'P 1'
_symmetry_Int_Tables_number 1
loop_
_symmetry_equiv_pos_as_xyz
'x,y,z'
loop_
_atom_site_label
_atom_site_type_symbol
_atom_site_fract_x
_atom_site_fract_y
_atom_site_fract_z
Gd1 Gd 0.000 0.000 0.000
Gd2 Gd 0.000 0.500 0.500
Gd3 Gd 0.500 0.000 0.500
Gd4 Gd 0.500 0.500 0.000
Th1 Th 0.000 0.000 0.500
Th2 Th 0.000 0.500 0.000
Th3 Th 0.500 0.000 0.000
Th4 Th 0.500 0.500 0.500
Be1 Be 0.250 0.250 0.250
Be2 Be 0.250 0.750 0.750
Be3 Be 0.750 0.250 0.750
Be4 Be 0.750 0.750 0.250
```

Output
M_tot = 0.0 μB/f.u.
space-group type = F-43m
VASP energy = -59.32 eV/cell

GdBeW | PBE-GGA | optimized geometry

```
data_GdBeW
_cell_length_a 6.099
_cell_length_b 6.099
_cell_length_c 6.099
_cell_angle_alpha 90.00
_cell_angle_beta 90.00
_cell_angle_gamma 90.00
_symmetry_space_group_name_H-M 'P 1'
_symmetry_Int_Tables_number 1
loop_
_symmetry_equiv_pos_as_xyz
'x,y,z'
loop_
_atom_site_label
_atom_site_type_symbol
_atom_site_fract_x
_atom_site_fract_y
_atom_site_fract_z
Gd1 Gd 0.000 0.000 0.000
Gd2 Gd 0.000 0.500 0.500
Gd3 Gd 0.500 0.000 0.500
Gd4 Gd 0.500 0.500 0.000
Be1 Be 0.250 0.250 0.250
Be2 Be 0.250 0.750 0.750
Be3 Be 0.750 0.250 0.750
Be4 Be 0.750 0.750 0.250
W1 W 0.000 0.000 0.500
W2 W 0.000 0.500 0.000
W3 W 0.500 0.000 0.000
W4 W 0.500 0.500 0.500
```

Output
M_tot = 0.0 μB/f.u.
space-group type = F-43m
VASP energy = -75.55 eV/cell

Gd3YBe | PBE-GGA | optimized geometry

```
data_Gd3YBe
_cell_length_a 6.734
_cell_length_b 6.734
_cell_length_c 7.448
_cell_angle_alpha 90.00
_cell_angle_beta 90.00
_cell_angle_gamma 120.00
_symmetry_space_group_name_H-M 'P 1'
_symmetry_Int_Tables_number 1
loop_
_symmetry_equiv_pos_as_xyz
'x,y,z'
loop_
_atom_site_label
_atom_site_type_symbol
_atom_site_fract_x
_atom_site_fract_y
_atom_site_fract_z
Gd1 Gd 0.001 0.443 0.250
Gd2 Gd 0.001 0.558 0.750
Gd3 Gd 0.442 0.443 0.750
Gd4 Gd 0.442 0.999 0.250
Gd5 Gd 0.557 0.558 0.250
Gd6 Gd 0.557 0.999 0.750
Y1 Y 0.000 0.000 0.000
Y2 Y 0.000 0.000 0.500
Be1 Be 0.667 0.333 0.000
Be2 Be 0.667 0.333 0.500
```

Output
M_tot = 0.0 μB/f.u.
space-group type = P-6c2
VASP energy = -46.05 eV/cell

GdBeZn | PBE-GGA | optimized geometry

```
data_GdBeZn
_cell_length_a 6.287
_cell_length_b 6.287
_cell_length_c 6.287
_cell_angle_alpha 90.00
_cell_angle_beta 90.00
_cell_angle_gamma 90.00
_symmetry_space_group_name_H-M 'P 1'
_symmetry_Int_Tables_number 1
loop_
_symmetry_equiv_pos_as_xyz
'x,y,z'
loop_
_atom_site_label
_atom_site_type_symbol
_atom_site_fract_x
_atom_site_fract_y
_atom_site_fract_z
Gd1 Gd 0.000 0.000 0.000
Gd2 Gd 0.000 0.500 0.500
Gd3 Gd 0.500 0.000 0.500
Gd4 Gd 0.500 0.500 0.000
Be1 Be 0.000 0.000 0.500
Be2 Be 0.000 0.500 0.000
Be3 Be 0.500 0.000 0.000
Be4 Be 0.500 0.500 0.500
Zn1 Zn 0.250 0.250 0.750
Zn2 Zn 0.250 0.750 0.250
Zn3 Zn 0.750 0.250 0.250
Zn4 Zn 0.750 0.750 0.750
```

Output
M_tot = 0.0 μB/f.u.
space-group type = F-43m
VASP energy = -36.21 eV/cell

HfBeGe2 | PBE-GGA | optimized geometry

```
data_HfBeGe2
_cell_length_a 6.489
_cell_length_b 6.489
_cell_length_c 6.489
_cell_angle_alpha 90.00
_cell_angle_beta 90.00
_cell_angle_gamma 90.00
_symmetry_space_group_name_H-M 'P 1'
_symmetry_Int_Tables_number 1
loop_
_symmetry_equiv_pos_as_xyz
'x,y,z'
loop_
_atom_site_label
_atom_site_type_symbol
_atom_site_fract_x
_atom_site_fract_y
_atom_site_fract_z
Hf1 Hf 0.000 0.000 0.000
Hf2 Hf 0.000 0.500 0.500
Hf3 Hf 0.500 0.000 0.500
Hf4 Hf 0.500 0.500 0.000
Be1 Be 0.250 0.250 0.750
Be2 Be 0.250 0.750 0.250
Be3 Be 0.750 0.250 0.250
Be4 Be 0.750 0.750 0.750
Ge1 Ge 0.000 0.000 0.500
Ge2 Ge 0.000 0.500 0.000
Ge3 Ge 0.250 0.250 0.250
Ge4 Ge 0.250 0.750 0.750
Ge5 Ge 0.500 0.000 0.000
Ge6 Ge 0.500 0.500 0.500
Ge7 Ge 0.750 0.250 0.750
Ge8 Ge 0.750 0.750 0.250
```

Output
M_tot = 0.0 μB/f.u.
space-group type = F-43m
VASP energy = -85.85 eV/cell

Hf2BeGe | PBE-GGA | optimized geometry

```
data_Hf2BeGe
_cell_length_a 6.517
_cell_length_b 6.517
_cell_length_c 6.517
_cell_angle_alpha 90.00
_cell_angle_beta 90.00
_cell_angle_gamma 90.00
_symmetry_space_group_name_H-M 'P 1'
_symmetry_Int_Tables_number 1
loop_
_symmetry_equiv_pos_as_xyz
'x,y,z'
loop_
_atom_site_label
_atom_site_type_symbol
_atom_site_fract_x
_atom_site_fract_y
_atom_site_fract_z
Hf1 Hf 0.000 0.000 0.000
Hf2 Hf 0.000 0.500 0.500
Hf3 Hf 0.250 0.250 0.250
Hf4 Hf 0.250 0.750 0.750
Hf5 Hf 0.500 0.000 0.500
Hf6 Hf 0.500 0.500 0.000
Hf7 Hf 0.750 0.250 0.750
Hf8 Hf 0.750 0.750 0.250
Be1 Be 0.250 0.250 0.750
Be2 Be 0.250 0.750 0.250
Be3 Be 0.750 0.250 0.250
Be4 Be 0.750 0.750 0.750
Ge1 Ge 0.000 0.000 0.500
Ge2 Ge 0.000 0.500 0.000
Ge3 Ge 0.500 0.000 0.000
Ge4 Ge 0.500 0.500 0.500
```

Output
M_tot = 0.0 μB/f.u.
space-group type = F-43m
VASP energy = -106.19 eV/cell

HoHfBe2Ge2 | PBE-GGA | optimized geometry

```
data_HoHfBe2Ge2
_cell_length_a 3.821
_cell_length_b 3.821
_cell_length_c 7.670
_cell_angle_alpha 90.00
_cell_angle_beta 90.00
_cell_angle_gamma 120.00
_symmetry_space_group_name_H-M 'P 1'
_symmetry_Int_Tables_number 1
loop_
_symmetry_equiv_pos_as_xyz
'x,y,z'
loop_
_atom_site_label
_atom_site_type_symbol
_atom_site_fract_x
_atom_site_fract_y
_atom_site_fract_z
Ho1 Ho 0.000 0.000 0.000
Hf1 Hf 0.000 0.000 0.500
Be1 Be 0.333 0.667 0.273
Be2 Be 0.667 0.333 0.727
Ge1 Ge 0.333 0.667 0.740
Ge2 Ge 0.667 0.333 0.260
```

Output
M_tot = 0.0 μB/f.u.
space-group type = P-3m1
VASP energy = -34.87 eV/cell

NdHfBe2Ge2 | PBE-GGA | optimized geometry

```
data_NdHfBe2Ge2
_cell_length_a 3.857
_cell_length_b 3.857
_cell_length_c 7.923
_cell_angle_alpha 90.00
_cell_angle_beta 90.00
_cell_angle_gamma 120.00
_symmetry_space_group_name_H-M 'P 1'
_symmetry_Int_Tables_number 1
loop_
_symmetry_equiv_pos_as_xyz
'x,y,z'
loop_
_atom_site_label
_atom_site_type_symbol
_atom_site_fract_x
_atom_site_fract_y
_atom_site_fract_z
Nd1 Nd 0.000 0.000 0.000
Hf1 Hf 0.000 0.000 0.500
Be1 Be 0.333 0.667 0.283
Be2 Be 0.667 0.333 0.717
Ge1 Ge 0.333 0.667 0.729
Ge2 Ge 0.667 0.333 0.271
```

Output
M_tot = 0.0 μB/f.u.
space-group type = P-3m1
VASP energy = -34.98 eV/cell